Entry 1:
The following is a DFT calculation (GGA-PBEsol) of a relaxed structure of ScAl2Si.

a = 5.112 Å, b = 5.112 Å, c = 5.112 Å
α = 135.51°, β = 135.51°, γ = 64.75°
Atoms (fractional coordinates):
Sc: 0.000 0.000 0.000
Al: 0.500 0.500 0.000
Al: 0.750 0.250 0.500
Si: 0.250 0.750 0.500

Crystal system: tetragonal
Magnetic moment: 0.0 Bohr magnetons per cell
Final energy: -22.30 eV/f.u.

---

Entry 2:
The following is a DFT calculation (GGA-PBEsol) of a relaxed structure of Mg2SiPt.

a = 8.781 Å, b = 8.781 Å, c = 8.781 Å
α = 19.52°, β = 19.52°, γ = 19.52°
Atoms (fractional coordinates):
Mg: 0.247 0.247 0.247
Mg: 0.753 0.753 0.753
Si: 0.000 0.000 0.000
Pt: 0.500 0.500 0.500

Crystal system: trigonal
Magnetic moment: 0.0 Bohr magnetons per cell
Final energy: -17.06 eV/f.u.

---

Entry 3:
The following is a DFT calculation (GGA-PBEsol) of a relaxed structure of CaFe2As.

a = 5.631 Å, b = 5.631 Å, c = 5.631 Å
α = 40.68°, β = 40.68°, γ = 40.68°
Atoms (fractional coordinates):
Ca: 0.000 0.000 0.000
Fe: 0.200 0.200 0.200
Fe: 0.520 0.520 0.520
As: 0.800 0.800 0.800

Formation energy: -0.254 eV per atom
Crystal system: trigonal
Magnetic moment: 2.6 Bohr magnetons per cell
Final energy: -26.18 eV/f.u.

---

Entry 4:
The following is a DFT calculation (GGA-PBEsol) of a relaxed structure of CdAu2Cl.

a = 5.532 Å, b = 5.532 Å, c = 5.532 Å
α = 147.66°, β = 115.34°, γ = 74.16°
Atoms (fractional coordinates):
Cd: 0.000 0.000 0.000
Au: 0.255 0.755 0.500
Au: 0.506 0.506 0.000
Cl: 0.755 0.255 0.500

Crystal system: orthorhombic
Magnetic moment: 0.0 Bohr magnetons per cell
Polymorph energy (0 for the lowest one): 47 meV per atom
Final energy: -10.96 eV/f.u.

---

Entry 5:
The following is a DFT calculation (GGA-PBEsol) of a relaxed structure of CaMoBr3.

a = 5.478 Å, b = 5.478 Å, c = 5.478 Å
α = 90.00°, β = 90.00°, γ = 90.00°
Atoms (fractional coordinates):
Ca: 0.000 0.000 0.000
Mo: 0.500 0.500 0.500
Br: 0.000 0.000 0.500
Br: 0.000 0.500 0.000
Br: 0.500 0.000 0.000

Crystal system: cubic
Magnetic moment: 5.0 Bohr magnetons per cell
Final energy: -20.42 eV/f.u.

---

Entry 6:
The following is a DFT calculation (GGA-PBEsol) of a relaxed structure of KScHg.

a = 5.343 Å, b = 5.343 Å, c = 3.065 Å
α = 90.00°, β = 90.00°, γ = 120.00°
Atoms (fractional coordinates):
K: 0.000 0.000 0.000
Sc: 0.667 0.333 0.190
Hg: 0.333 0.667 0.583

Formation energy: 0.303 eV per atom
Crystal system: trigonal
Magnetic moment: 0.0 Bohr magnetons per cell
Polymorph energy (0 for the lowest one): 0 meV per atom
Final energy: -7.40 eV/f.u.